First-principles (PBE-GGA) data for crystalline Pm2Nd3Er8 at its relaxed geometry, as listed in Alexandria.

Geometry as CIF:
```
data_Pm2Nd3Er8
_space_group_name_H-M_alt 'C 1 2/m 1'
_space_group_IT_number 12
_space_group_name_Hall '-C 2y'
_cell_length_a 20.406
_cell_length_b 7.679
_cell_length_c 5.601
_cell_angle_alpha 90.00
_cell_angle_beta 90.02
_cell_angle_gamma 90.00
loop_
_atom_site_label
_atom_site_type_symbol
_atom_site_fract_x
_atom_site_fract_y
_atom_site_fract_z
_atom_site_occupancy
Pm1 Pm 0.241 0.000 0.499 1
Nd1 Nd 0.000 0.000 0.500 1
Nd2 Nd 0.000 0.293 0.000 1
Er1 Er 0.109 0.290 0.500 1
Er2 Er 0.132 0.000 0.000 1
Er3 Er 0.166 0.500 0.000 1
```

## Properties
D(E_F) ... 23.59 states/eV/f.u.
ΔE_f ... 0.2554 eV per atom
Distance to the lowest polymorph of the same formula ... 1.41 eV per formula unit

***

First-principles (PBE-GGA) data for crystalline CsTi3Ag at its relaxed geometry, as listed in Alexandria.

Geometry as CIF:
```
data_CsTi3Ag
_space_group_name_H-M_alt 'P m -3 m'
_space_group_IT_number 221
_space_group_name_Hall '-P 4 2 3'
_cell_length_a 5.127
_cell_length_b 5.127
_cell_length_c 5.127
_cell_angle_alpha 90.00
_cell_angle_beta 90.00
_cell_angle_gamma 90.00
loop_
_atom_site_label
_atom_site_type_symbol
_atom_site_fract_x
_atom_site_fract_y
_atom_site_fract_z
_atom_site_occupancy
Cs1 Cs 0.000 0.000 0.000 1
Ti1 Ti 0.000 0.500 0.500 1
Ag1 Ag 0.500 0.500 0.500 1
```

## Properties
D(E_F) ... 3.35 states/eV/f.u.
ΔE_f ... 1.3117 eV per atom
Distance to the lowest polymorph of the same formula ... 0.00 eV per formula unit

***

First-principles (PBE-GGA) data for crystalline TlTePt at its relaxed geometry, as listed in Alexandria.

Geometry as CIF:
```
data_TlTePt
_space_group_name_H-M_alt 'P 3 m 1'
_space_group_IT_number 156
_space_group_name_Hall 'P 3 -2"'
_cell_length_a 4.3400
_cell_length_b 4.3400
_cell_length_c 5.3874
_cell_angle_alpha 90.00
_cell_angle_beta 90.00
_cell_angle_gamma 120.00
loop_
_atom_site_label
_atom_site_type_symbol
_atom_site_fract_x
_atom_site_fract_y
_atom_site_fract_z
_atom_site_occupancy
Tl1 Tl 0.0000 0.0000 0.0000 1
Te1 Te 0.6667 0.3333 0.4847 1
Pt1 Pt 0.3333 0.6667 0.3517 1
```

## Properties
D(E_F) ... 1.42 states/eV/f.u.
Total DFT energy (no corrections) ... -12.1 eV/f.u.

***

First-principles (PBE-GGA) data for crystalline TaHOs2Rh at its relaxed geometry, as listed in Alexandria.

Geometry as CIF:
```
data_TaHOs2Rh
_space_group_name_H-M_alt 'P 4/m m m'
_space_group_IT_number 123
_space_group_name_Hall '-P 4 2'
_cell_length_a 3.965
_cell_length_b 3.965
_cell_length_c 3.953
_cell_angle_alpha 90.00
_cell_angle_beta 90.00
_cell_angle_gamma 90.00
loop_
_atom_site_label
_atom_site_type_symbol
_atom_site_fract_x
_atom_site_fract_y
_atom_site_fract_z
_atom_site_occupancy
Ta1 Ta 0.000 0.000 0.000 1
H1 H 0.500 0.500 0.500 1
Os1 Os 0.000 0.500 0.500 1
Rh1 Rh 0.500 0.500 0.000 1
```

## Properties
D(E_F) ... 2.46 states/eV/f.u.
Distance to the lowest polymorph of the same formula ... 0.00 eV per formula unit